# 1
VASP calculation (PBE-GGA) on PmZrCo2 after structural relaxation.

Unit cell a=4.297 b=4.297 c=5.424 alpha=66.66 beta=66.66 gamma=60.00
Fractional coordinates of all 4 atoms:
Zr 0.500 0.500 0.500
Co 0.787 0.787 0.639
Co 0.213 0.213 0.361
Pm 0.000 0.000 0.000

Results
**Total DFT energy (no corrections)**: -0.5092 Ry/atom
**Offset from the most stable computed form**: 8.8 kJ/mol of atoms
**ΔH_f (0 K)**: -4.9 kJ/mol of atoms
**Space group**: R-3m (166)


# 2
VASP calculation (PBE-GGA) on PmZr2Co after structural relaxation.

Unit cell a=3.282 b=3.282 c=8.079 alpha=90.00 beta=90.00 gamma=90.00
Fractional coordinates of all 4 atoms:
Pm 0.500 0.500 0.500
Zr 0.000 0.000 0.185
Zr 0.000 0.000 0.815
Co 0.500 0.500 0.000

Results
**Total DFT energy (no corrections)**: -0.5320 Ry/atom
**Offset from the most stable computed form**: 0.0 kJ/mol of atoms
**ΔH_f (0 K)**: 0.0 kJ/mol of atoms
**Space group**: P4/mmm (123)


# 3
VASP calculation (PBE-GGA) on Pr3Co2 after structural relaxation.

Unit cell a=6.954 b=6.954 c=7.464 alpha=62.23 beta=62.23 gamma=60.00
Fractional coordinates of all 10 atoms:
Co 0.822 0.822 0.534
Co 0.178 0.178 0.466
Co 0.322 0.322 0.034
Co 0.678 0.678 0.966
Pr 0.097 0.750 0.750
Pr 0.597 0.903 0.250
Pr 0.903 0.250 0.250
Pr 0.750 0.403 0.750
Pr 0.250 0.597 0.250
Pr 0.403 0.097 0.750

Results
**Total DFT energy (no corrections)**: -0.4180 Ry/atom
**Offset from the most stable computed form**: 2.2 kJ/mol of atoms
**ΔH_f (0 K)**: 2.2 kJ/mol of atoms
**Space group**: R-3c (167)


# 4
VASP calculation (PBE-GGA) on Pr5Co4 after structural relaxation.

Unit cell a=3.955 b=6.202 c=9.764 alpha=72.39 beta=78.33 gamma=71.41
Site moments in Bohr magnetons follow the coordinates.
Fractional coordinates of all 9 atoms:
Co 0.585 0.437 0.392  0.46
Co 0.415 0.563 0.608  0.46
Co 0.459 0.263 0.818  0.24
Co 0.541 0.737 0.182  0.24
Pr 0.108 0.180 0.603  -0.08
Pr 0.772 0.636 0.820  -0.06
Pr 0.892 0.820 0.397  -0.08
Pr 0.228 0.364 0.180  -0.06
Pr 0.000 0.000 0.000  -0.05

Results
**Total DFT energy (no corrections)**: -0.4286 Ry/atom
**ΔH_f (0 K)**: -1.7 kJ/mol of atoms
**Space group**: C2/m (12)


# 5
VASP calculation (PBE-GGA) on Pr2Co17 after structural relaxation.

Unit cell a=6.329 b=6.329 c=6.329 alpha=83.13 beta=83.13 gamma=83.13
Site moments in Bohr magnetons follow the coordinates.
Fractional coordinates of all 19 atoms:
Co 0.000 0.500 0.000  1.56
Co 0.284 0.716 0.000  1.56
Co 0.000 0.716 0.284  1.56
Co 0.716 0.000 0.284  1.56
Co 0.096 0.096 0.096  1.65
Co 0.658 0.148 0.658  1.51
Co 0.000 0.000 0.500  1.56
Co 0.284 0.000 0.716  1.56
Co 0.500 0.000 0.000  1.56
Co 0.904 0.904 0.904  1.65
Co 0.148 0.658 0.658  1.51
Co 0.852 0.342 0.342  1.51
Co 0.716 0.284 0.000  1.56
Co 0.342 0.852 0.342  1.51
Co 0.342 0.342 0.852  1.51
Co 0.000 0.284 0.716  1.56
Co 0.658 0.658 0.148  1.51
Pr 0.345 0.345 0.345  -0.24
Pr 0.655 0.655 0.655  -0.24

Results
**Total DFT energy (no corrections)**: -0.5072 Ry/atom
**ΔH_f (0 K)**: -3.8 kJ/mol of atoms
**Space group**: R-3m (166)


# 6
VASP calculation (PBE-GGA) on Pr13Co2 after structural relaxation.

Unit cell a=6.630 b=8.429 c=10.044 alpha=115.06 beta=89.25 gamma=97.70
Fractional coordinates of all 15 atoms:
Co 0.809 0.818 0.708
Co 0.191 0.182 0.292
Pr 0.000 0.000 0.000
Pr 0.582 0.680 0.446
Pr 0.162 0.937 0.620
Pr 0.766 0.604 0.068
Pr 0.049 0.484 0.315
Pr 0.464 0.769 0.848
Pr 0.536 0.231 0.152
Pr 0.309 0.848 0.226
Pr 0.234 0.396 0.932
Pr 0.418 0.320 0.554
Pr 0.691 0.152 0.774
Pr 0.951 0.516 0.685
Pr 0.838 0.063 0.380

Results
**Total DFT energy (no corrections)**: -0.3719 Ry/atom
**ΔH_f (0 K)**: 2.9 kJ/mol of atoms
**Space group**: P-1 (2)


# 7
VASP calculation (PBE-GGA) on Pr8Co3 after structural relaxation.

Unit cell a=6.873 b=6.873 c=6.873 alpha=88.96 beta=88.96 gamma=88.96
Fractional coordinates of all 11 atoms:
Pr 0.832 0.667 0.159
Pr 0.344 0.344 0.344
Pr 0.333 0.841 0.168
Pr 0.159 0.832 0.667
Pr 0.667 0.159 0.832
Pr 0.168 0.333 0.841
Pr 0.841 0.168 0.333
Pr 0.656 0.656 0.656
Co 0.500 0.000 0.500
Co 0.500 0.500 0.000
Co 0.000 0.500 0.500

Results
**Total DFT energy (no corrections)**: -0.3967 Ry/atom
**ΔH_f (0 K)**: 1.6 kJ/mol of atoms
**Space group**: R-3 (148)


# 8
VASP calculation (PBE-GGA) on Pr3Co after structural relaxation.

Unit cell a=6.421 b=8.997 c=8.997 alpha=82.61 beta=69.01 gamma=69.01
Fractional coordinates of all 16 atoms:
Pr 0.500 0.640 0.360
Pr 0.013 0.000 0.601
Pr 0.140 0.360 0.360
Pr 0.848 0.808 0.000
Pr 0.343 0.000 0.808
Pr 0.385 0.601 0.000
Pr 0.500 0.360 0.640
Pr 0.860 0.640 0.640
Pr 0.657 0.192 0.000
Pr 0.615 0.000 0.399
Pr 0.152 0.000 0.192
Pr 0.987 0.399 0.000
Co 0.702 0.299 0.299
Co 0.000 0.299 0.701
Co 0.298 0.701 0.701
Co 0.000 0.702 0.299

Results
**Total DFT energy (no corrections)**: -0.3909 Ry/atom
**ΔH_f (0 K)**: 4.1 kJ/mol of atoms
**Space group**: C2 (5)


# 9
VASP calculation (PBE-GGA) on Pr3Co2 after structural relaxation.

Unit cell a=4.146 b=4.018 c=7.942 alpha=104.65 beta=90.00 gamma=90.00
Site moments in Bohr magnetons follow the coordinates.
Fractional coordinates of all 5 atoms:
Co 0.500 0.285 0.570  0.79
Co 0.500 0.715 0.430  0.79
Pr 0.000 0.851 0.703  -0.11
Pr 0.500 0.500 0.000  -0.08
Pr 0.000 0.149 0.297  -0.11

Results
**Total DFT energy (no corrections)**: -0.4197 Ry/atom
**Offset from the most stable computed form**: 0.0 kJ/mol of atoms
**ΔH_f (0 K)**: 0.0 kJ/mol of atoms
**Space group**: Cmmm (65)


# 10
VASP calculation (PBE-GGA) on Pr4Co after structural relaxation.

Unit cell a=7.791 b=7.791 c=7.791 alpha=60.00 beta=60.00 gamma=60.00
Fractional coordinates of all 10 atoms:
Pr 0.345 0.885 0.885
Pr 0.365 0.365 0.905
Pr 0.885 0.885 0.345
Pr 0.885 0.345 0.885
Pr 0.365 0.365 0.365
Pr 0.885 0.885 0.885
Pr 0.905 0.365 0.365
Pr 0.365 0.905 0.365
Co 0.500 0.500 0.500
Co 0.750 0.750 0.750

Results
**Total DFT energy (no corrections)**: -0.3633 Ry/atom
**Offset from the most stable computed form**: 32.7 kJ/mol of atoms
**ΔH_f (0 K)**: 29.1 kJ/mol of atoms
**Space group**: Fd-3m (227)


# 11
VASP calculation (PBE-GGA) on Pr3Co after structural relaxation.

Unit cell a=3.685 b=5.805 c=6.440 alpha=116.79 beta=106.62 gamma=90.00
Fractional coordinates of all 4 atoms:
Pr 0.500 0.394 0.000
Pr 0.689 0.091 0.377
Pr 0.311 0.714 0.623
Co 0.000 0.968 0.000

Results
**Total DFT energy (no corrections)**: -0.3899 Ry/atom
**ΔH_f (0 K)**: 5.4 kJ/mol of atoms
**Space group**: Imm2 (44)


# 12
VASP calculation (PBE-GGA) on PrCo3 after structural relaxation.

Unit cell a=5.075 b=5.075 c=8.812 alpha=73.22 beta=73.22 gamma=60.00
Site moments in Bohr magnetons follow the coordinates.
Fractional coordinates of all 12 atoms:
Co 0.577 0.083 0.762  1.36
Co 0.083 0.577 0.762  1.20
Co 0.577 0.577 0.763  1.28
Co 0.423 0.917 0.238  1.36
Co 0.423 0.423 0.237  1.28
Co 0.667 0.667 0.999  1.48
Co 0.500 0.500 0.500  1.10
Co 0.333 0.333 0.001  1.48
Co 0.917 0.423 0.238  1.20
Pr 0.860 0.860 0.420  -0.26
Pr 0.140 0.140 0.580  -0.26
Pr 0.000 0.000 0.000  -0.21

Results
**Total DFT energy (no corrections)**: -0.4805 Ry/atom
**ΔH_f (0 K)**: -1.3 kJ/mol of atoms
**Space group**: R-3m (166)